Entry 1:
This record from the Alexandria database describes La6Sm3Dy2Mg after structural relaxation. The functional is GGA-PBE.

Its crystal system is monoclinic. The value obtained for the calculated density is 6.6 Mg/m³.

The space group is C2/m (No. 12) and the conventional cell measures 6.333, 11.002 and 11.963 Å, with angles of 90.00, 100.34 and 90.00 degrees. The asymmetric unit holds La at (0.247, 0.166, 0.246), La at (0.250, 0.000, 0.753), Sm at (0.000, 0.168, 0.500), Sm at (0.000, 0.500, 0.500), Dy at (0.000, 0.334, 0.000) and Mg at (0.000, 0.000, 0.000).

***

Entry 2:
This record from the Alexandria database describes HoFeRu after structural relaxation. The functional is GGA-PBE.

Its crystal system is tetragonal. The value obtained for the calculated density is 8.5 Mg/m³.

The space group is P4_12_12 (No. 92) and the conventional cell measures 6.620, 6.620 and 5.721 Å, with angles of 90.00, 90.00 and 90.00 degrees. The asymmetric unit holds Ho at (0.244, 0.244, 0.000), Fe at (0.134, 0.866, 0.750) and Ru at (0.125, 0.125, 0.500).

***

Entry 3:
This record from the Alexandria database describes U2Ni12As7 after structural relaxation. The functional is GGA-PBE.

Its crystal system is hexagonal. The value obtained for the calculated density is 9.7 Mg/m³.

The space group is P-6 (No. 174) and the conventional cell measures 9.3886, 9.3886 and 3.8314 Å, with angles of 90.00, 90.00 and 120.00 degrees. The asymmetric unit holds U at (0.0000, 0.0000, 0.0000), U at (0.3333, 0.6667, 0.5000), Ni at (0.0525, 0.2800, 0.5000), Ni at (0.0916, 0.7140, 0.0000), Ni at (0.4552, 0.2161, 0.0000), Ni at (0.5141, 0.4610, 0.5000), As at (0.0745, 0.4453, 0.0000), As at (0.2639, 0.2141, 0.5000) and As at (0.6667, 0.3333, 0.5000).

***

Entry 4:
This record from the Alexandria database describes ZnH2I2O after structural relaxation. The functional is GGA-PBE.

Its crystal system is orthorhombic. The value obtained for the calculated density is 3.0 Mg/m³.

The space group is Cmc2_1 (No. 36) and the conventional cell measures 16.099, 8.159 and 5.618 Å, with angles of 90.00, 90.00 and 90.00 degrees. The asymmetric unit holds Zn at (0.000, 0.232, 0.000), H at (0.049, 0.206, 0.549), I at (0.140, 0.257, 0.187) and O at (0.000, 0.181, 0.650).

***

Entry 5:
This record from the Alexandria database describes Pr3Ho6Er after structural relaxation. The functional is GGA-PBE.

Its crystal system is monoclinic. The value obtained for the calculated density is 7.8 Mg/m³. Its energy relative to the lowest polymorph listed for this composition is 0.77 eV per formula unit.

The space group is C2/m (No. 12) and the conventional cell measures 11.556, 6.574 and 9.747 Å, with angles of 90.00, 115.16 and 90.00 degrees. The asymmetric unit holds Pr at (0.000, 0.000, 0.000), Pr at (0.072, 0.000, 0.700), Ho at (0.135, 0.500, 0.921), Ho at (0.186, 0.254, 0.314) and Er at (0.000, 0.500, 0.500).

***

Entry 6:
This record from the Alexandria database describes TbGdDy2 after structural relaxation. The functional is GGA-PBE.

Its crystal system is tetragonal. The value obtained for the calculated density is 8.4 Mg/m³. Its energy relative to the lowest polymorph listed for this composition is 0.01 eV per formula unit.

The space group is P4/mmm (No. 123) and the conventional cell measures 3.556, 3.556 and 10.049 Å, with angles of 90.00, 90.00 and 90.00 degrees. The asymmetric unit holds Tb at (0.000, 0.000, 0.000), Gd at (0.000, 0.000, 0.500) and Dy at (0.500, 0.500, 0.249).

***

Entry 7:
This record from the Alexandria database describes CaTl2Cl4 after structural relaxation. The functional is GGA-PBE.

Its crystal system is orthorhombic. The value obtained for the calculated density is 4.2 Mg/m³. Its energy relative to the lowest polymorph listed for this composition is 0.00 eV per formula unit.

The space group is Pbca (No. 61) and the conventional cell measures 7.428, 7.718 and 16.356 Å, with angles of 90.00, 90.00 and 90.00 degrees. The asymmetric unit holds Ca at (0.000, 0.000, 0.000), Tl at (0.012, 0.069, 0.350), Cl at (0.081, 0.025, 0.837) and Cl at (0.200, 0.203, 0.527).

***

Entry 8:
This record from the Alexandria database describes Ga2Bi2Br after structural relaxation. The functional is GGA-PBE.

Its crystal system is tetragonal. The value obtained for the calculated density is 7.7 Mg/m³. Its energy relative to the lowest polymorph listed for this composition is 0.67 eV per formula unit.

The space group is P4/mbm (No. 127) and the conventional cell measures 8.812, 8.812 and 3.531 Å, with angles of 90.00, 90.00 and 90.00 degrees. The asymmetric unit holds Ga at (0.140, 0.360, 0.000), Bi at (0.154, 0.654, 0.500) and Br at (0.000, 0.000, 0.500).

***

Entry 9:
This record from the Alexandria database describes Y2Er2Pb2C after structural relaxation. The functional is GGA-PBE.

Its crystal system is tetragonal. The value obtained for the calculated density is 8.4 Mg/m³.

The space group is I4/mmm (No. 139) and the conventional cell measures 4.789, 4.789 and 16.090 Å, with angles of 90.00, 90.00 and 90.00 degrees. The asymmetric unit holds Y at (0.000, 0.000, 0.158), Er at (0.000, 0.500, 0.000), Pb at (0.000, 0.000, 0.358) and C at (0.000, 0.000, 0.000).

***

Entry 10:
This record from the Alexandria database describes Sr8Cd2Hg after structural relaxation. The functional is GGA-PBE.

Its crystal system is monoclinic. The value obtained for the calculated density is 3.8 Mg/m³. Its energy relative to the lowest polymorph listed for this composition is 0.41 eV per formula unit.

The space group is Cm (No. 8) and the conventional cell measures 10.123, 15.100 and 6.923 Å, with angles of 90.00, 110.14 and 90.00 degrees. The asymmetric unit holds Sr at (0.000, 0.000, 0.000), Sr at (0.069, 0.371, 0.781), Sr at (0.152, 0.129, 0.574), Sr at (0.216, 0.500, 0.370), Sr at (0.358, 0.210, 0.182), Cd at (0.362, 0.312, 0.684) and Hg at (0.358, 0.000, 0.375).

***

Entry 11:
This record from the Alexandria database describes YTmP2Rh5 after structural relaxation. The functional is GGA-PBE.

Its crystal system is tetragonal. The value obtained for the calculated density is 9.5 Mg/m³.

The space group is P4/mmm (No. 123) and the conventional cell measures 4.099, 4.099 and 8.663 Å, with angles of 90.00, 90.00 and 90.00 degrees. The asymmetric unit holds Y at (0.000, 0.000, 0.000), Tm at (0.000, 0.000, 0.500), P at (0.500, 0.500, 0.140), Rh at (0.000, 0.500, 0.259) and Rh at (0.500, 0.500, 0.500).

***

Entry 12:
This record from the Alexandria database describes PrNdTlRu after structural relaxation. The functional is GGA-PBE.

Its crystal system is tetragonal. The value obtained for the calculated density is 9.3 Mg/m³. Its energy relative to the lowest polymorph listed for this composition is 0.00 eV per formula unit.

The space group is P4mm (No. 99) and the conventional cell measures 3.538, 3.538 and 8.463 Å, with angles of 90.00, 90.00 and 90.00 degrees. The asymmetric unit holds Pr at (0.000, 0.000, 0.000), Nd at (0.000, 0.000, 0.592), Tl at (0.500, 0.500, 0.298) and Ru at (0.500, 0.500, 0.794).

***

Entry 13:
This record from the Alexandria database describes SmSi2Ni4 after structural relaxation. The functional is GGA-PBE.

Its crystal system is orthorhombic. The value obtained for the calculated density is 7.4 Mg/m³.

The space group is Pnma (No. 62) and the conventional cell measures 16.214, 3.968 and 6.161 Å, with angles of 90.00, 90.00 and 90.00 degrees. The asymmetric unit holds Sm at (0.140, 0.250, 0.002), Si at (0.040, 0.750, 0.737), Si at (0.214, 0.250, 0.475), Ni at (0.022, 0.750, 0.140), Ni at (0.069, 0.250, 0.513), Ni at (0.186, 0.750, 0.677) and Ni at (0.206, 0.750, 0.282).

***

Entry 14:
This record from the Alexandria database describes LiTl2W after structural relaxation. The functional is GGA-PBE.

Its crystal system is tetragonal. The value obtained for the calculated density is 11.7 Mg/m³. Its energy relative to the lowest polymorph listed for this composition is 0.69 eV per formula unit.

The space group is P4mm (No. 99) and the conventional cell measures 2.939, 2.939 and 9.831 Å, with angles of 90.00, 90.00 and 90.00 degrees. The asymmetric unit holds Li at (0.000, 0.000, 0.000), Tl at (0.000, 0.000, 0.555), Tl at (0.500, 0.500, 0.241) and W at (0.500, 0.500, 0.798).

***

Entry 15:
This record from the Alexandria database describes Nd2Dy3Mg after structural relaxation. The functional is GGA-PBE.

Its crystal system is monoclinic. The value obtained for the calculated density is 6.8 Mg/m³. Its energy relative to the lowest polymorph listed for this composition is 0.00 eV per formula unit.

The space group is C2/c (No. 15) and the conventional cell measures 9.909, 11.625 and 6.799 Å, with angles of 90.00, 96.10 and 90.00 degrees. The asymmetric unit holds Nd at (0.163, 0.233, 0.196), Dy at (0.000, 0.049, 0.750), Dy at (0.190, 0.481, 0.485) and Mg at (0.000, 0.321, 0.750).

***

Entry 16:
This record from the Alexandria database describes LaCe2TmIn4 after structural relaxation. The functional is GGA-PBE.

Its crystal system is trigonal. The value obtained for the calculated density is 7.6 Mg/m³.

The space group is R-3m (No. 166, hexagonal axes) and the conventional cell measures 5.4382, 5.4382 and 26.8361 Å, with angles of 90.00, 90.00 and 120.00 degrees. The asymmetric unit holds La at (0.0000, 0.0000, 0.0000), Ce at (0.0000, 0.0000, 0.2486), Tm at (0.0000, 0.0000, 0.5000), In at (0.0000, 0.0000, 0.1272) and In at (0.0000, 0.0000, 0.3778).

***

Entry 17:
This record from the Alexandria database describes Na2BF6 after structural relaxation. The functional is GGA-PBE.

Its crystal system is monoclinic. The value obtained for the calculated density is 2.5 Mg/m³. Its energy relative to the lowest polymorph listed for this composition is 0.66 eV per formula unit.

The space group is C2/m (No. 12) and the conventional cell measures 14.214, 4.659 and 3.507 Å, with angles of 90.00, 95.98 and 90.00 degrees. The asymmetric unit holds Na at (0.169, 0.000, 0.209), B at (0.000, 0.500, 0.500), F at (0.064, 0.276, 0.678) and F at (0.231, 0.500, 0.249).

***

Entry 18:
This record from the Alexandria database describes Th2MgAu after structural relaxation. The functional is GGA-PBE.

Its crystal system is tetragonal. The value obtained for the calculated density is 10.5 Mg/m³. Its energy relative to the lowest polymorph listed for this composition is 0.05 eV per formula unit.

The space group is P4/mmm (No. 123) and the conventional cell measures 3.791, 3.791 and 7.510 Å, with angles of 90.00, 90.00 and 90.00 degrees. The asymmetric unit holds Th at (0.000, 0.000, 0.238), Mg at (0.500, 0.500, 0.500) and Au at (0.500, 0.500, 0.000).

***

Entry 19:
This record from the Alexandria database describes LuThGaCu after structural relaxation. The functional is GGA-PBE.

Its crystal system is cubic. The value obtained for the calculated density is 9.9 Mg/m³.

The space group is F-43m (No. 216) and the conventional cell measures 7.134, 7.134 and 7.134 Å, with angles of 90.00, 90.00 and 90.00 degrees. The asymmetric unit holds Lu at (0.000, 0.000, 0.000), Th at (0.000, 0.000, 0.500), Ga at (0.250, 0.250, 0.250) and Cu at (0.250, 0.250, 0.750).

***

Entry 20:
This record from the Alexandria database describes K3TlBr4 after structural relaxation. The functional is GGA-PBE.

Its crystal system is tetragonal. The value obtained for the calculated density is 3.5 Mg/m³. Its energy relative to the lowest polymorph listed for this composition is 0.00 eV per formula unit.

The space group is I4/mmm (No. 139) and the conventional cell measures 6.702, 6.702 and 13.420 Å, with angles of 90.00, 90.00 and 90.00 degrees. The asymmetric unit holds K at (0.000, 0.000, 0.000), K at (0.000, 0.500, 0.250), Tl at (0.000, 0.000, 0.500), Br at (0.000, 0.000, 0.248) and Br at (0.000, 0.500, 0.000).

***

Entry 21:
This record from the Alexandria database describes ZrZnBr2 after structural relaxation. The functional is GGA-PBE.

Its crystal system is orthorhombic. The value obtained for the calculated density is 5.9 Mg/m³. Its energy relative to the lowest polymorph listed for this composition is 2.33 eV per formula unit.

The space group is Cmmm (No. 65) and the conventional cell measures 6.405, 8.199 and 3.401 Å, with angles of 90.00, 90.00 and 90.00 degrees. The asymmetric unit holds Zr at (0.000, 0.000, 0.000), Zn at (0.000, 0.500, 0.000) and Br at (0.250, 0.250, 0.500).

***

Entry 22:
This record from the Alexandria database describes MgTa2Os after structural relaxation. The functional is GGA-PBE.

Its crystal system is orthorhombic. The value obtained for the calculated density is 13.9 Mg/m³.

The space group is Imm2 (No. 44) and the conventional cell measures 3.170, 4.636 and 9.342 Å, with angles of 90.00, 90.00 and 90.00 degrees. The asymmetric unit holds Mg at (0.000, 0.000, 0.000), Ta at (0.000, 0.000, 0.468), Ta at (0.000, 0.500, 0.225) and Os at (0.000, 0.500, 0.743).

***

no.,DFT total energy (eV per atom)
1,-4.5206
2,-7.2280
3,-6.3285
4,-3.4155
5,-4.4092
6,-6.9586
7,-3.6308
8,-3.1017
9,-6.1257
10,-1.5814
11,-7.5198
12,-5.5501
13,-6.0575
14,-4.2456
15,-4.0267
16,-4.4137
17,-4.4259
18,-5.1478
19,-5.0748
20,-3.0752
21,-3.3752
22,-9.1074